LiTc2Sb | Alexandria | PBE | relaxed; E_form (uncorrected) = 0.35 eV/atom; space group = C2/m (12); D(E_F) = 1.06 states/eV per atom
1.0
4.9072 -0.0325 -0.1001
-2.2489 4.7531 0.0201
0.4094 0.8879 2.7313
Li Sb Tc
1 1 2
Direct
0.0000 0.5000 0.5000
0.5000 0.5000 0.0000
0.0000 0.0000 0.0000
0.5000 0.0000 0.5000

HfSnAs2Rh | Alexandria | PBE | relaxed; ΔH_f (0 K) = 0.19 eV per atom; space group = P4/mmm (123); D(E_F) = 0.58 states/eV per atom
1.0
-2.2676 0.9884 -3.9779
-2.1086 -4.8076 0.0075
-3.6415 1.6010 2.4736
Rh As Hf Sn
1 2 1 1
Direct
0.0000 0.0000 0.0000
0.0000 0.0000 0.5000
0.5000 0.0000 0.0000
0.0000 0.5000 0.0000
0.5000 0.5000 0.5000

CsNaICl | Alexandria | PBE | relaxed; E_form (uncorrected) = -1.53 eV/atom; distance to the lowest polymorph of the same formula = 0.10 eV/f.u.; space group = P4/mmm (123); D(E_F) = 0.00 states/eV per atom
1.0
4.7504 0.0000 0.0000
0.0000 4.7504 0.0000
0.0000 0.0000 7.5614
Cs Na I Cl
1 1 1 1
Direct
0.5000 0.5000 0.5000
0.0000 0.0000 0.0000
0.5000 0.5000 0.0000
0.0000 0.0000 0.5000

InGa2H2 | Alexandria | PBE | relaxed; VASP energy = -26.77 eV for the cell shown; space group = P4/mbm (127); D(E_F) = 0.23 states/eV per atom
1.0
-3.9381 3.7472 -4.3949
3.1880 -3.0252 -5.4360
-2.1048 -2.2145 -0.0020
H Ga In
4 4 2
Direct
0.3948 0.8948 0.0000
0.8948 0.6052 0.0000
0.6052 0.1052 0.0000
0.1052 0.3948 0.0000
0.1319 0.6319 0.5000
0.6319 0.8681 0.5000
0.8681 0.3681 0.5000
0.3681 0.1319 0.5000
0.0000 0.0000 0.0000
0.5000 0.5000 0.0000

ErNbI | Alexandria | PBE | relaxed; E_form (uncorrected) = 0.38 eV/atom; space group = Cmcm (63); D(E_F) = 1.20 states/eV per atom
1.0
3.3890 0.0000 -0.9433
0.0000 6.0466 0.0000
-4.4183 -3.0233 10.3447
Er I Nb
2 2 2
Direct
0.0318 0.1953 0.3907
0.9682 0.8047 0.6093
0.1208 0.3429 0.6858
0.8792 0.6571 0.3141
0.9506 0.0501 0.1001
0.0494 0.9499 0.8999

SrSbRh2 | Alexandria | PBE | relaxed; E_form (uncorrected) = -0.46 eV/atom; space group = R3m (160); D(E_F) = 0.71 states/eV per atom
1.0
-0.7552 3.5646 -2.5481
-4.0706 0.7517 -1.6230
-2.8681 4.4192 3.1585
Sb Rh Sr
1 2 1
Direct
0.4571 0.4571 0.6288
0.0574 0.0574 0.8279
0.7270 0.7270 0.8194
0.2585 0.2585 0.2239

Ac2DyThSe4 | Alexandria | PBE | relaxed; E_form (uncorrected) = -1.73 eV/atom; space group = P2/m (10); D(E_F) = 0.50 states/eV per atom
1.0
4.2436 0.0000 0.0000
0.0000 7.4284 0.1530
0.0000 -2.5726 7.0855
Ac Dy Th Se
2 1 1 4
Direct
0.5000 0.0000 0.5000
0.0000 0.5000 0.5000
0.0000 0.0000 0.0000
0.5000 0.5000 0.0000
0.5000 0.2351 0.2245
0.5000 0.7649 0.7755
0.0000 0.2496 0.7708
0.0000 0.7504 0.2292

Ce4PrDy | Alexandria | PBE | relaxed; ΔH_f (0 K) = 0.20 eV per atom; space group = F-43m (216); D(E_F) = 3.16 states/eV per atom
1.0
-0.9313 6.2757 -0.4036
-4.0075 2.3460 -4.3417
-5.5468 2.5141 1.8240
Pr Ce Dy
1 4 1
Direct
0.2500 0.2500 0.2500
0.6297 0.6297 0.1108
0.6297 0.1108 0.6297
0.6297 0.6297 0.6297
0.1108 0.6297 0.6297
0.0000 0.0000 0.0000

Q: What is the formula in the second record?
A: HfSnAs2Rh

Q: What is the formula in the sixth record?
A: SrSbRh2

Q: Look up the D(E_F) of the seventh one.
A: 0.50 states/eV per atom

Q: The lowest D(E_F) belongs to which entry?
A: CsNaICl